Material: LaPmNd2Tm5
Method: DFT, PBE
State: relaxed

abc: 9.9128 9.9128 9.9128
angles: 127.91 127.91 76.77
With the nearest neighbours (Å) after each atom.
Element x y z (fractional)
La 0.2500 0.2500 0.0000  10 Tm 3.58-3.88
La 0.7500 0.7500 0.0000  10 Tm 3.58-3.88
Pm 0.2500 0.7500 0.5000  4 Tm 3.12
Pm 0.7500 0.2500 0.5000  4 Tm 3.12
Nd 0.1174 0.6174 0.7348  1 Nd 2.89, 2 Tm 3.01
Nd 0.3826 0.1174 0.5000  1 Nd 2.89, 2 Tm 3.01
Nd 0.6174 0.8826 0.5000  1 Nd 2.89, 2 Tm 3.01
Nd 0.8826 0.3826 0.2652  1 Nd 2.89, 2 Tm 3.01
Tm 0.0000 0.0000 0.0000  4 Nd 3.48, 8 Tm 3.77, 2 La 3.88
Tm 0.0729 0.1545 0.5000  1 Nd 3.01, 1 Pm 3.12
Tm 0.1545 0.6545 0.0816  1 Nd 3.01, 1 Pm 3.12
Tm 0.3455 0.4271 0.5000  1 Nd 3.01, 1 Pm 3.12
Tm 0.4271 0.9271 0.0816  1 Nd 3.01, 1 Pm 3.12
Tm 0.5000 0.5000 0.0000  4 Nd 3.48, 8 Tm 3.77, 2 La 3.88
Tm 0.5729 0.0729 0.9184  1 Nd 3.01, 1 Pm 3.12
Tm 0.6545 0.5729 0.5000  1 Nd 3.01, 1 Pm 3.12
Tm 0.8455 0.3455 0.9184  1 Nd 3.01, 1 Pm 3.12
Tm 0.9271 0.8455 0.5000  1 Nd 3.01, 1 Pm 3.12

Values from the calculation:
Density of states at the Fermi level in states/eV/f.u.: 9.54
Calculated density in g/cm3: 8.0
Formation energy from the elements in eV per atom: 0.247